The following is a DFT calculation (GGA-PBE) of a geometry-optimized Sm2Ho4Sc structure.

Calculated values
magnetization	0.000	μB/f.u.
ΔE_f	14	kJ per mole of atoms
space-group type	P2_1/m (11)

abc: 5.999 6.544 11.453
angles: 90.00 104.74 90.00
Fractional positions:
Sm 0.108 0.250 0.004
Sm 0.219 0.250 0.572
Sm 0.781 0.750 0.428
Sm 0.892 0.750 0.996
Ho 0.143 0.003 0.288
Ho 0.143 0.497 0.288
Ho 0.350 0.750 0.563
Ho 0.479 0.750 0.137
Ho 0.521 0.250 0.863
Ho 0.650 0.250 0.437
Ho 0.857 0.503 0.712
Ho 0.857 0.997 0.712
Sc 0.349 0.750 0.840
Sc 0.651 0.250 0.160